# Rb2ErRuO6, optimized geometry, DFT PBE
# * formation energy without anion corrections: -1.596 eV/atom
# * size of the total moment: 0.103 μB per atom
# * DOS at the Fermi energy: 5.70 states/eV/f.u.
data_Rb2ErRuO6
_space_group_name_H-M_alt 'P -3 m 1'
_space_group_IT_number 164
_space_group_name_Hall '-P 3 2"'
_cell_length_a 6.3807
_cell_length_b 6.3807
_cell_length_c 5.6816
_cell_angle_alpha 90.00
_cell_angle_beta 90.00
_cell_angle_gamma 120.00
loop_
_atom_site_label
_atom_site_fract_x
_atom_site_fract_y
_atom_site_fract_z
Rb1 0.3333 0.6667 0.3663
Er1 0.0000 0.0000 0.0000
Ru1 0.0000 0.0000 0.5000
O1 0.1374 0.2748 0.7083

# Rb2ErSO6, optimized geometry, DFT PBE
# * formation energy without anion corrections: -1.628 eV/atom
# * size of the total moment: 0.104 μB per atom
# * DOS at the Fermi energy: 1.71 states/eV/f.u.
data_Rb2ErSO6
_space_group_name_H-M_alt 'P -3 m 1'
_space_group_IT_number 164
_space_group_name_Hall '-P 3 2"'
_cell_length_a 6.3840
_cell_length_b 6.3840
_cell_length_c 5.5340
_cell_angle_alpha 90.00
_cell_angle_beta 90.00
_cell_angle_gamma 120.00
loop_
_atom_site_label
_atom_site_fract_x
_atom_site_fract_y
_atom_site_fract_z
Rb1 0.3333 0.6667 0.3780
Er1 0.0000 0.0000 0.0000
S1 0.0000 0.0000 0.5000
O1 0.1246 0.2492 0.6795